Record 1
The following is a PBE calculation of a relaxed structure of Ti2Zn3Co, from Alexandria via LeMat-Bulk.

Unit cell a=4.3694 b=12.3196 c=3.2012 alpha=90.00 beta=90.00 gamma=90.00
Space group Cmmm (No. 65)
Asymmetric unit:
Ti: 0.0000 0.1533 0.0000 x4
Zn: 0.0000 0.3353 0.5000 x4
Zn: 0.0000 0.5000 0.0000 x2
Co: 0.0000 0.0000 0.5000 x2

- energy (eV/atom) = -4.610
- energy of formation from the pure elements (meV per atom) = -158

=====

Record 2
The following is a PBE calculation of a relaxed structure of LaAl2TlO, from Alexandria via LeMat-Bulk.

Unit cell a=5.9373 b=5.9373 c=6.3040 alpha=90.00 beta=90.00 gamma=90.00
Space group P4/mmm (No. 123)
Asymmetric unit:
La: 0.0000 0.0000 0.0000 x1
Al: 0.0000 0.5000 0.0000 x2
Tl: 0.0000 0.0000 0.5000 x1
O: 0.5000 0.5000 0.5000 x1

- energy (eV/atom) = -2.521

=====

Record 3
The following is a PBE calculation of a relaxed structure of Dy2Tm5In5, from Alexandria via LeMat-Bulk.

Unit cell a=12.0401 b=5.0126 c=11.6800 alpha=90.00 beta=109.99 gamma=90.00
Space group C2/m (No. 12)
Asymmetric unit:
Dy: 0.0765 0.0000 0.2572 x4
Tm: 0.0000 0.5000 0.0000 x2
Tm: 0.1291 0.5000 0.7754 x4
Tm: 0.1514 0.5000 0.5003 x4
In: 0.0000 0.0000 0.5000 x2
In: 0.1654 0.0000 0.9680 x4
In: 0.2433 0.5000 0.2807 x4

- energy (eV/atom) = -4.069
- energy of formation from the pure elements (meV per atom) = -298

=====

Copy entry 2 word for word.
The following is a PBE calculation of a relaxed structure of LaAl2TlO, from Alexandria via LeMat-Bulk.

Unit cell a=5.9373 b=5.9373 c=6.3040 alpha=90.00 beta=90.00 gamma=90.00
Space group P4/mmm (No. 123)
Asymmetric unit:
La: 0.0000 0.0000 0.0000 x1
Al: 0.0000 0.5000 0.0000 x2
Tl: 0.0000 0.0000 0.5000 x1
O: 0.5000 0.5000 0.5000 x1

- energy (eV/atom) = -2.521

=====

Which formula does entry 1 have?
Ti2Zn3Co